Here is an optimized crystal structure of ZrHBrCl from the Alexandria database. Energies are from GGA-PBE.

Lattice parameters (Å, degrees): 3.593 3.594 7.973 77.02 76.98 60.01
Fractional positions:
H: 0.759 0.044 0.438
Zr: 0.107 0.391 0.396
Cl: 0.514 0.798 0.173
Br: 0.998 0.284 0.720

density of states at the Fermi level = 0.15 states/eV/atom
size of the total moment = 0.25 μB per atom
symmetry = No. 160
ρ = 4.00 Mg/m³
final energy = -4.8435 eV/atom

---

Here is an optimized crystal structure of HfBrCl2 from the Alexandria database. Energies are from GGA-PBE.

Lattice parameters (Å, degrees): 9.158 9.158 7.008 49.21 49.21 90.00
Fractional positions:
Hf: 0.000 0.000 0.000
Hf: 0.750 0.250 0.500
Br: 0.500 0.500 0.000
Br: 0.250 0.750 0.500
Cl: 0.875 0.027 0.750
Cl: 0.973 0.625 0.250
Cl: 0.777 0.125 0.250
Cl: 0.375 0.223 0.750

density of states at the Fermi level = 0.55 states/eV/atom
size of the total moment = 0.25 μB per atom
energy above the most stable polymorph in this dataset = 0 meV per atom
symmetry = No. 122
ρ = 4.86 Mg/m³
formation energy from raw total energies = -1.188 eV per atom
final energy = -5.0180 eV/atom

---

Here is an optimized crystal structure of HfBrCl from the Alexandria database. Energies are from GGA-PBE.

Lattice parameters (Å, degrees): 3.359 6.272 8.114 73.29 89.66 90.00
Fractional positions:
Hf: 0.501 0.792 0.998
Hf: 0.001 0.179 0.012
Br: 0.497 0.964 0.275
Br: 0.504 0.490 0.796
Cl: 0.005 0.999 0.760
Cl: 0.999 0.493 0.185

size of the total moment = 0.00 μB per atom
energy above the most stable polymorph in this dataset = 23 meV per atom
symmetry = No. 1
ρ = 5.96 Mg/m³
formation energy from raw total energies = -1.301 eV per atom
final energy = -5.7920 eV/atom

---

Here is an optimized crystal structure of HfBrCl from the Alexandria database. Energies are from GGA-PBE.

Lattice parameters (Å, degrees): 3.362 6.234 8.061 76.13 78.22 90.00
Fractional positions:
Cl: 0.841 0.632 0.814
Cl: 0.159 0.368 0.186
Hf: 0.753 0.201 0.993
Hf: 0.247 0.799 0.007
Br: 0.617 0.837 0.273
Br: 0.383 0.163 0.727

size of the total moment = 0.00 μB per atom
energy above the most stable polymorph in this dataset = 14 meV per atom
symmetry = No. 2
ρ = 6.09 Mg/m³
formation energy from raw total energies = -1.310 eV per atom
final energy = -5.8014 eV/atom